# KTlSi2 (GGA-PBE, optimized geometry)
data_KTlSi2
_chemical_formula_sum 'K4 Tl4 Si8'
_cell_length_a 5.0449
_cell_length_b 5.0449
_cell_length_c 19.5679
_cell_angle_alpha 90.00
_cell_angle_beta 90.00
_cell_angle_gamma 90.00
_space_group_name_H-M_alt 'I 41/a m d'
_space_group_IT_number 141
loop_
_space_group_symop_operation_xyz
'x,y,z'
'-x,-y,-z'
'-y+1/4,x+3/4,z+1/4'
'y+1/4,-x+3/4,-z+1/4'
'-x+1/2,-y,z+1/2'
'x+1/2,y,-z+1/2'
'y+1/4,-x+1/4,z+3/4'
'-y+1/4,x+1/4,-z+3/4'
'x,-y,-z'
'-x,y,z'
'-y+1/4,-x+1/4,-z+3/4'
'y+1/4,x+1/4,z+3/4'
'-x+1/2,y,-z+1/2'
'x+1/2,-y,z+1/2'
'y+1/4,x+3/4,-z+1/4'
'-y+1/4,-x+3/4,z+1/4'
'x+1/2,y+1/2,z+1/2'
'-x+1/2,-y+1/2,-z+1/2'
'-y+3/4,x+1/4,z+3/4'
'y+3/4,-x+1/4,-z+3/4'
'-x,-y+1/2,z'
'x,y+1/2,-z'
'y+3/4,-x+3/4,z+1/4'
'-y+3/4,x+3/4,-z+1/4'
'x+1/2,-y+1/2,-z+1/2'
'-x+1/2,y+1/2,z+1/2'
'-y+3/4,-x+3/4,-z+1/4'
'y+3/4,x+3/4,z+1/4'
'-x,y+1/2,-z'
'x,-y+1/2,z'
'y+3/4,x+1/4,-z+3/4'
'-y+3/4,-x+1/4,z+3/4'
loop_
_atom_site_label
_atom_site_type_symbol
_atom_site_fract_x
_atom_site_fract_y
_atom_site_fract_z
K1 K 0.0000 0.2500 0.3750
Tl1 Tl 0.0000 0.2500 0.8750
Si1 Si 0.0000 0.0000 0.0000
# E_tot: -3.169 eV/atom
# calculated volume: 498.0 Å³/cell
# energy relative to the elements, uncorrected: 0.41 eV per atom
# Fermi-level density of states: 1.610 states/eV/f.u.